[1]
Compound: K2MgCu
Source: the Alexandria database
Functional: GGA-PBE
Structure: optimized geometry

## Properties
The value obtained for the density is 2.12 g cm⁻³. The space group is F-43m, No. 216. The raw total energy comes out at -25.1 eV/cell. The calculation puts the total magnetization at 0.0 μB/f.u. The formation energy from the elements comes out at 0.40 eV/atom.

Cell: 8.038 8.038 8.038 Å, 90.00 90.00 90.00°
Sites, in units of the cell vectors:
K: 0.000 0.000 0.000
K: 0.000 0.500 0.500
K: 0.250 0.250 0.250
K: 0.250 0.750 0.750
K: 0.500 0.000 0.500
K: 0.500 0.500 0.000
K: 0.750 0.250 0.750
K: 0.750 0.750 0.250
Mg: 0.000 0.000 0.500
Mg: 0.000 0.500 0.000
Mg: 0.500 0.000 0.000
Mg: 0.500 0.500 0.500
Cu: 0.250 0.250 0.750
Cu: 0.250 0.750 0.250
Cu: 0.750 0.250 0.250
Cu: 0.750 0.750 0.750

[2]
Compound: KMgCu2
Source: the Alexandria database
Functional: GGA-PBE
Structure: optimized geometry

## Properties
The value obtained for the density is 3.23 g cm⁻³. The space group is Immm, No. 71. The raw total energy comes out at -18.4 eV/cell. The calculation puts the total magnetization at 0.0 μB/f.u. The calculation puts the energy relative to the lowest polymorph listed for this composition at 190 meV/atom. The formation energy from the elements comes out at 0.42 eV/atom.

Cell: 4.776 5.740 7.151 Å, 90.00 90.00 90.00°
Sites, in units of the cell vectors:
K: 0.000 0.000 0.000
K: 0.500 0.500 0.500
Mg: 0.000 0.000 0.500
Mg: 0.500 0.500 0.000
Cu: 0.000 0.500 0.174
Cu: 0.000 0.500 0.826
Cu: 0.500 0.000 0.326
Cu: 0.500 0.000 0.674

Per-record density of states at the Fermi level, states/eV per cell: 14.67 2.61